Here is a relaxed structure of K3Mo from Alexandria via LeMat-Bulk. Energies are from PBE-GGA.

Unit cell a=5.859 b=5.859 c=5.859 alpha=90.00 beta=90.00 gamma=90.00
Fractional positions:
K (0.000, 0.000, 0.500)
K (0.000, 0.500, 0.000)
K (0.500, 0.000, 0.000)
Mo (0.500, 0.500, 0.500)

VASP energy, eV/atom: -2.362
Relative energy among the computed polymorphs, meV/atom: 436.6
DFT formation energy, eV/f.u.: 4.68